Record 1
# CoTc2HRu

A relaxed structure of CoTc2HRu (PBE, the Alexandria database).

```
5
Lattice="-2.176 -2.658 1.691 1.055 -2.552 -2.653 2.966 -1.040 2.180" Properties=species:S:1:pos:R:3 pbc="T T T"
Ru 1.483 -0.520 1.090
Co 0.923 -3.125 0.610
Tc 0.528 -1.276 -1.326
Tc -1.088 -1.329 0.846
H 0.000 0.000 0.000
```

## Properties
* relative energy among the computed polymorphs: 44 meV per atom

Record 2
# LiCr2P

A relaxed structure of LiCr2P (PBE, the Alexandria database).

```
4
Lattice="-2.029 0.475 1.538 0.043 -2.512 -0.630 4.515 -1.536 6.431" Properties=species:S:1:pos:R:3 pbc="T T T"
Cr 4.494 -1.529 6.401
Cr 0.013 -1.361 1.887
Li 2.316 -0.788 3.299
P 2.478 -2.200 5.399
```

## Properties
* formation enthalpy at 0 K: 0.1248 eV/atom

Record 3
# PuPaN

A relaxed structure of PuPaN (PBE, the Alexandria database).

```
12
Lattice="4.037 0.000 0.000 0.000 8.507 0.000 0.000 0.000 6.655" Properties=species:S:1:pos:R:3 pbc="T T T"
Pa 1.009 7.448 4.365
Pa 3.028 1.059 2.290
Pa 1.009 3.194 5.617
Pa 3.028 5.312 1.037
N 1.009 8.467 2.401
N 3.028 0.040 4.254
N 1.009 4.214 0.927
N 3.028 4.293 5.728
Pu 1.009 7.986 0.263
Pu 3.028 0.521 6.392
Pu 1.009 3.733 3.064
Pu 3.028 4.774 3.590
```

## Properties
* relative energy among the computed polymorphs: 118 meV per atom
* uncorrected formation energy: -0.65 eV per atom

Record 4
# SnSbAsAu

A relaxed structure of SnSbAsAu (PBE, the Alexandria database).

```
4
Lattice="4.104 0.000 0.000 -2.052 4.681 0.000 0.000 0.000 5.778" Properties=species:S:1:pos:R:3 pbc="T T T"
Sn 0.000 1.467 2.889
Sb 2.052 3.319 0.000
As 2.052 3.273 2.889
Au 0.000 1.418 0.000
```

## Properties
* uncorrected formation energy: 0.01 eV per atom

Record 5
# PrEr

A relaxed structure of PrEr (PBE, the Alexandria database).

```
4
Lattice="-1.436 -2.418 -2.394 1.950 -4.380 3.254 -5.410 0.001 3.244" Properties=species:S:1:pos:R:3 pbc="T T T"
Pr -4.304 -3.398 3.165
Pr -3.429 -1.209 0.428
Er -0.036 0.000 0.021
Er -0.850 -2.190 2.722
```

## Properties
* relative energy among the computed polymorphs: 0 meV per atom
* formation enthalpy at 0 K: 0.0257 eV/atom

Record 6
# PrHg3Au8

A relaxed structure of PrHg3Au8 (PBE, the Alexandria database).

```
12
Lattice="-1.908 0.927 5.247 -1.252 -4.372 3.370 7.558 -1.194 6.012" Properties=species:S:1:pos:R:3 pbc="T T T"
Pr 0.096 -3.462 9.804
Hg 5.431 -2.337 8.493
Hg 7.492 -1.194 5.988
Hg 2.275 -2.320 7.343
Au -0.925 -1.270 7.515
Au 3.182 -4.513 9.588
Au 0.026 -1.733 4.899
Au 2.230 -4.050 12.208
Au 2.714 -1.168 4.246
Au 4.906 -3.488 11.558
Au -0.598 -3.913 6.579
Au 2.855 -1.867 10.526
```

## Properties
* formation enthalpy at 0 K: -0.1876 eV/atom

Record 7
# SrSi2P

A relaxed structure of SrSi2P (PBE, the Alexandria database).

```
4
Lattice="-2.830 -4.697 1.190 0.328 -1.365 5.433 -1.741 3.847 -3.695" Properties=species:S:1:pos:R:3 pbc="T T T"
P -2.911 -1.940 0.403
Si -2.370 -5.741 6.273
Si -1.383 -3.351 3.661
Sr -1.332 -0.274 2.525
```

## Properties
* uncorrected formation energy: 0.01 eV per atom

Record 8
# PmTm6Sn3

A relaxed structure of PmTm6Sn3 (PBE, the Alexandria database).

```
20
Lattice="7.617 0.000 0.000 0.000 9.126 -0.358 0.000 -2.386 8.816" Properties=species:S:1:pos:R:3 pbc="T T T"
Pm 0.765 0.027 6.893
Pm 4.574 6.713 1.564
Tm 0.890 5.099 5.523
Tm 4.698 4.246 6.203
Tm 2.280 2.834 8.085
Tm 6.088 7.249 4.567
Tm 2.089 8.663 0.011
Tm 4.520 0.658 6.390
Tm 0.712 6.082 2.067
Tm 5.897 -1.923 8.447
Tm 2.280 -0.509 3.890
Tm 6.088 3.906 0.372
Tm 0.890 2.494 2.255
Tm 4.698 1.642 2.934
Sn 3.307 6.942 5.930
Sn 7.116 4.231 8.090
Sn 2.412 2.409 4.995
Sn 6.220 4.331 3.463
Sn 7.116 -0.202 2.528
Sn 3.307 2.509 0.367
```

## Properties
* formation enthalpy at 0 K: -0.3432 eV/atom

Record 9
# NbAsRu3

A relaxed structure of NbAsRu3 (PBE, the Alexandria database).

```
5
Lattice="4.457 0.000 0.000 0.000 4.457 0.000 0.000 0.000 4.457" Properties=species:S:1:pos:R:3 pbc="T T T"
Ru 0.000 2.229 0.000
Ru 0.000 0.000 2.229
Ru 2.229 0.000 0.000
Nb 2.229 2.229 2.229
As 0.000 0.000 0.000
```

## Properties
* formation enthalpy at 0 K: 0.8074 eV/atom

Record 10
# Ho3ScH

A relaxed structure of Ho3ScH (PBE, the Alexandria database).

```
5
Lattice="4.878 0.000 0.000 0.000 4.878 0.000 0.000 0.000 4.878" Properties=species:S:1:pos:R:3 pbc="T T T"
Sc 2.439 2.439 2.439
H 0.000 0.000 0.000
Ho 0.000 2.439 0.000
Ho 0.000 0.000 2.439
Ho 2.439 0.000 0.000
```

## Properties
* E_tot: -0.1772 Ha/atom

Record 11
# BaAlInS4

A relaxed structure of BaAlInS4 (PBE, the Alexandria database).

```
14
Lattice="6.307 0.000 0.209 0.000 7.341 0.000 -2.208 0.000 8.041" Properties=species:S:1:pos:R:3 pbc="T T T"
Ba 2.842 5.506 7.528
Ba 1.257 1.835 0.722
Al 0.599 5.506 2.585
Al 3.500 1.835 5.665
In 3.722 5.506 3.004
In 0.378 1.835 5.246
S -1.378 3.554 5.842
S 5.478 7.225 2.408
S 5.478 3.787 2.408
S -1.378 0.116 5.842
S 2.177 5.506 0.941
S 1.923 1.835 7.308
S 1.801 5.506 4.514
S 2.298 1.835 3.735
```

## Properties
* uncorrected formation energy: -1.16 eV per atom

Record 12
# PrGePt2

A relaxed structure of PrGePt2 (PBE, the Alexandria database).

```
4
Lattice="-0.008 0.741 -4.020 -1.410 -3.675 -0.674 -5.173 1.914 0.363" Properties=species:S:1:pos:R:3 pbc="T T T"
Pr -0.709 -1.467 -2.347
Ge -2.590 1.327 -1.828
Pt -1.265 0.467 0.089
Pt -5.318 -2.229 -0.400
```

## Properties
* formation enthalpy at 0 K: -0.8130 eV/atom

Record 13
# Ca3Os

A relaxed structure of Ca3Os (PBE, the Alexandria database).

```
4
Lattice="-1.362 -1.619 4.775 -0.134 -5.107 1.086 3.586 -2.090 3.170" Properties=species:S:1:pos:R:3 pbc="T T T"
Ca 0.522 -2.204 2.258
Ca 1.567 -6.612 6.774
Ca 1.045 -4.408 4.516
Os 0.000 0.000 0.000
```

## Properties
* formation enthalpy at 0 K: 0.4147 eV/atom

Record 14
# MnHgBr2

A relaxed structure of MnHgBr2 (PBE, the Alexandria database).

```
4
Lattice="6.559 0.908 0.138 0.688 6.585 0.138 1.522 1.574 2.900" Properties=species:S:1:pos:R:3 pbc="T T T"
Br 0.000 0.000 0.000
Br 3.623 3.746 0.138
Hg 4.041 1.241 1.519
Mn 1.105 4.080 1.519
```

## Properties
* relative energy among the computed polymorphs: 650 meV per atom
* uncorrected formation energy: 0.08 eV per atom

Record 15
# CsK2Al

A relaxed structure of CsK2Al (PBE, the Alexandria database).

```
4
Lattice="4.330 0.000 0.000 2.165 3.750 0.000 2.165 1.250 15.634" Properties=species:S:1:pos:R:3 pbc="T T T"
Cs 4.330 2.500 7.817
K 2.165 1.250 12.180
K 6.495 3.750 3.454
Al 0.000 0.000 0.000
```

## Properties
* relative energy among the computed polymorphs: 385 meV per atom
* formation enthalpy at 0 K: 0.5610 eV/atom

Record 16
# Ca3Nd2Pd2

A relaxed structure of Ca3Nd2Pd2 (PBE, the Alexandria database).

```
7
Lattice="3.842 0.000 -0.861 -2.367 6.021 -1.565 0.005 0.317 9.009" Properties=species:S:1:pos:R:3 pbc="T T T"
Ca 1.921 0.000 -0.430
Ca -1.185 5.040 3.695
Ca 2.666 1.299 2.888
Nd 1.364 3.114 6.068
Nd 0.117 3.225 0.515
Pd -1.877 5.320 0.620
Pd 3.357 1.019 5.963
```

## Properties
* formation enthalpy at 0 K: -0.4359 eV/atom

Record 17
# Ge2BiI

A relaxed structure of Ge2BiI (PBE, the Alexandria database).

```
8
Lattice="-4.593 -2.036 -5.671 5.872 -3.114 -3.637 -0.293 -7.124 -2.266" Properties=species:S:1:pos:R:3 pbc="T T T"
I 0.639 -2.575 -4.654
I 3.109 -6.407 -5.279
Ge -2.319 -3.491 -4.700
Ge 3.131 -3.934 -3.414
Ge 0.120 -7.200 -5.104
Ge 1.038 -9.924 -9.930
Bi 0.000 0.000 0.000
Bi -2.124 -5.868 -6.296
```

## Properties
* relative energy among the computed polymorphs: 8 meV per atom
* uncorrected formation energy: 0.38 eV per atom

Record 18
# LiTmFeC

A relaxed structure of LiTmFeC (PBE, the Alexandria database).

```
8
Lattice="3.389 0.000 0.000 0.000 3.389 0.000 0.000 0.000 10.392" Properties=species:S:1:pos:R:3 pbc="T T T"
Li 0.847 2.542 5.196
Li 2.542 0.847 5.196
Tm 2.542 2.542 2.274
Tm 0.847 0.847 8.118
Fe 2.542 0.847 0.000
Fe 0.847 2.542 0.000
C 2.542 2.542 9.345
C 0.847 0.847 1.047
```

## Properties
* formation enthalpy at 0 K: -0.0638 eV/atom

Record 19
# SnAuSN2

A relaxed structure of SnAuSN2 (PBE, the Alexandria database).

```
5
Lattice="-0.755 2.272 -3.316 0.658 -3.258 -2.383 -5.256 -1.290 0.313" Properties=species:S:1:pos:R:3 pbc="T T T"
S -2.628 -0.645 0.157
Au -2.677 -1.138 -2.692
Sn 0.000 0.000 0.000
N 0.329 -1.629 -1.191
N -0.378 1.136 -1.658
```

## Properties
* relative energy among the computed polymorphs: 0 meV per atom
* uncorrected formation energy: 1.41 eV per atom

Record 20
# MnTlSbCl6

A relaxed structure of MnTlSbCl6 (PBE, the Alexandria database).

```
9
Lattice="-2.614 -6.051 1.826 2.394 -5.752 -2.823 4.793 -0.523 5.131" Properties=species:S:1:pos:R:3 pbc="T T T"
Mn 2.250 -8.129 1.901
Tl 2.179 -6.574 6.956
Sb 2.323 -4.195 2.233
Cl -0.277 -8.298 2.215
Cl 4.769 -8.336 1.555
Cl 2.653 -6.397 3.730
Cl 2.347 -9.985 3.649
Cl 1.917 -6.101 0.389
Cl 2.089 -9.661 -0.134
```

## Properties
* uncorrected formation energy: -0.99 eV per atom